Density functional theory data (meta-GGA SCAN) for a crystal of CuIrPt2 relaxed with PBEsol.

Cell lengths 5.3774, 7.6854, 2.7003 Å; angles 90.00, 90.00, 90.00 degrees
Last column: nearest neighbours and their distance in Å.
Space group Cmmm (No. 65)
Unique sites:
Cu (0.0000, 0.0000, 0.0000)  2 Ir 2.69, 2 Cu 2.70, 8 Pt 2.71
Ir (0.0000, 0.5000, 0.0000)  2 Cu 2.69, 2 Ir 2.70, 8 Pt 2.71
Pt (0.2500, 0.2500, 0.5000)  4 Pt 2.69-2.70, 4 Cu 2.71, 4 Ir 2.71

Summary:
Calculated formation energy in eV per formula unit: -0.3
Energy relative to the lowest polymorph listed for this composition in meV/atom: 0
Electronic total energy in eV per atom: -56.75
Total magnetic moment in μB/f.u.: 0.00


Density functional theory data (meta-GGA SCAN) for a crystal of TaV2 relaxed with PBEsol.

Cell lengths 7.0491, 7.0491, 7.0491 Å; angles 90.00, 90.00, 90.00 degrees
Last column: nearest neighbours and their distance in Å.
Space group Fd-3m (No. 227, origin choice 2)
Unique sites:
Ta (0.1250, 0.1250, 0.1250)  12 V 2.92, 4 Ta 3.05
V (0.0000, 0.0000, 0.5000)  6 V 2.49

Summary:
Calculated formation energy in eV per formula unit: -0.3
Electronic total energy in eV per atom: -33.95
Total magnetic moment in μB/f.u.: 0.00


> Which formula does entry 2 have?

TaV2


Copy entry 1 word for word.
Density functional theory data (meta-GGA SCAN) for a crystal of CuIrPt2 relaxed with PBEsol.

Cell lengths 5.3774, 7.6854, 2.7003 Å; angles 90.00, 90.00, 90.00 degrees
Last column: nearest neighbours and their distance in Å.
Space group Cmmm (No. 65)
Unique sites:
Cu (0.0000, 0.0000, 0.0000)  2 Ir 2.69, 2 Cu 2.70, 8 Pt 2.71
Ir (0.0000, 0.5000, 0.0000)  2 Cu 2.69, 2 Ir 2.70, 8 Pt 2.71
Pt (0.2500, 0.2500, 0.5000)  4 Pt 2.69-2.70, 4 Cu 2.71, 4 Ir 2.71

Summary:
Calculated formation energy in eV per formula unit: -0.3
Energy relative to the lowest polymorph listed for this composition in meV/atom: 0
Electronic total energy in eV per atom: -56.75
Total magnetic moment in μB/f.u.: 0.00


> electronic total energy of number 2 (TaV2)?

-33.95 eV per atom